DFT (GGA-PBE) results for a relaxed structure of RbSn2F8.

Geometry as POSCAR:
```
RbSn2F8
1.0
4.238 0.000 0.000
1.436 6.546 0.000
1.090 3.120 7.073
Rb Sn F
1 2 8
Direct
0.000 0.000 0.000
0.400 0.586 0.689
0.600 0.414 0.311
0.092 0.434 0.319
0.264 0.880 0.702
0.387 0.344 0.951
0.449 0.703 0.388
0.551 0.297 0.612
0.613 0.656 0.049
0.736 0.120 0.298
0.908 0.566 0.681
```

Calculated volume (Å³ per cell): 196
DOS(E_F) (states/eV per atom): 0.0274
Raw formation energy (eV/atom): -2.46



DFT (GGA-PBE) results for a relaxed structure of RbSn3F.

Geometry as POSCAR:
```
RbSn3F
1.0
5.236 0.000 0.000
0.000 5.236 0.000
0.000 0.000 5.236
Rb Sn F
1 3 1
Direct
0.000 0.000 0.000
0.000 0.500 0.500
0.500 0.000 0.500
0.500 0.500 0.000
0.500 0.500 0.500
```

Relative energy among the computed polymorphs (meV/atom): 0.0
Calculated volume (Å³ per cell): 144
DOS(E_F) (states/eV per atom): 0.6465
Raw formation energy (eV/atom): -0.35



DFT (GGA-PBE) results for a relaxed structure of Rb2Sn3F8.

Geometry as POSCAR:
```
Rb2Sn3F8
1.0
6.673 -3.803 0.000
6.673 3.803 0.000
-2.316 0.000 5.977
Rb Sn F
2 3 8
Direct
0.218 0.218 0.161
0.782 0.782 0.839
0.241 0.759 0.500
0.500 0.500 0.000
0.759 0.241 0.500
0.095 0.095 0.444
0.177 0.613 0.111
0.387 0.823 0.889
0.396 0.396 0.597
0.604 0.604 0.403
0.613 0.177 0.111
0.823 0.387 0.889
0.905 0.905 0.556
```

Calculated volume (Å³ per cell): 303
DOS(E_F) (states/eV per atom): 0.0000
Raw formation energy (eV/atom): -2.37



DFT (GGA-PBE) results for a relaxed structure of Rb2SnF5.

Geometry as POSCAR:
```
Rb2SnF5
1.0
-3.314 3.314 4.044
3.314 -3.314 4.044
3.314 3.314 -4.044
Rb Sn F
2 1 5
Direct
0.000 0.500 0.500
0.500 0.000 0.500
0.260 0.260 0.000
0.014 0.014 0.000
0.029 0.029 0.554
0.029 0.475 0.000
0.475 0.029 0.000
0.475 0.475 0.446
```

Calculated volume (Å³ per cell): 178
DOS(E_F) (states/eV per atom): 0.1801
Raw formation energy (eV/atom): -2.52



DFT (GGA-PBE) results for a relaxed structure of Rb2TaSnF6.

Geometry as POSCAR:
```
Rb2TaSnF6
1.0
-3.203 3.203 5.905
3.203 -3.203 5.905
3.203 3.203 -5.905
Rb Ta Sn F
2 1 1 6
Direct
0.250 0.750 0.500
0.750 0.250 0.500
0.000 0.000 0.000
0.500 0.500 0.000
0.166 0.166 0.000
0.223 0.223 0.447
0.223 0.777 0.000
0.777 0.223 0.000
0.777 0.777 0.553
0.834 0.834 0.000
```

Calculated volume (Å³ per cell): 242
DOS(E_F) (states/eV per atom): 0.0000
Raw formation energy (eV/atom): -2.36



DFT (GGA-PBE) results for a relaxed structure of Rb2TaSnF.

Geometry as POSCAR:
```
Rb2TaSnF
1.0
4.748 0.000 0.000
0.000 4.748 0.000
0.000 0.000 7.027
Rb Ta Sn F
2 1 1 1
Direct
0.000 0.500 0.000
0.500 0.000 0.000
0.000 0.000 0.500
0.500 0.500 0.500
0.500 0.500 0.000
```

Calculated volume (Å³ per cell): 158
DOS(E_F) (states/eV per atom): 1.0574
Raw formation energy (eV/atom): 0.14